Record 1
DFT (GGA-PBE) results for La3Pm2 after structural relaxation.

Unit cell a=9.684 b=9.684 c=9.684 alpha=42.66 beta=42.66 gamma=42.66
Positions (direct):
La 0.239 0.750 0.261
La 0.250 0.739 0.761
La 0.261 0.239 0.750
La 0.739 0.761 0.250
La 0.750 0.261 0.239
La 0.761 0.250 0.739
Pm 0.191 0.191 0.191
Pm 0.309 0.309 0.309
Pm 0.691 0.691 0.691
Pm 0.809 0.809 0.809

Results
- energy of formation (eV/atom) = 0.2376
- theoretical density (kg/m3) = 6212



Record 2
DFT (GGA-PBE) results for La5Pm4 after structural relaxation.

Unit cell a=8.248 b=8.248 c=5.263 alpha=108.53 beta=108.53 gamma=84.26
Positions (direct):
La 0.000 0.000 0.000
La 0.333 0.333 0.333
La 0.333 0.667 0.000
La 0.667 0.333 0.000
La 0.667 0.667 0.667
Pm 0.000 0.333 0.666
Pm 0.000 0.667 0.334
Pm 0.333 0.000 0.666
Pm 0.667 0.000 0.334

Results
- energy of formation (eV/atom) = 0.0168
- theoretical density (kg/m3) = 6574



Record 3
DFT (GGA-PBE) results for La3Pm4 after structural relaxation.

Unit cell a=8.816 b=8.816 c=9.064 alpha=116.09 beta=116.09 gamma=23.29
Positions (direct):
La 0.000 0.000 0.000
La 0.222 0.222 0.149
La 0.778 0.778 0.851
Pm 0.076 0.076 0.700
Pm 0.363 0.363 0.589
Pm 0.637 0.637 0.411
Pm 0.924 0.924 0.300

Results
- energy of formation (eV/atom) = 0.1041
- theoretical density (kg/m3) = 6650



Record 4
DFT (GGA-PBE) results for La3Pm4 after structural relaxation.

Unit cell a=6.398 b=6.398 c=8.243 alpha=97.40 beta=97.40 gamma=48.26
Positions (direct):
La 0.000 0.000 0.000
La 0.286 0.286 0.856
La 0.714 0.714 0.144
Pm 0.142 0.142 0.429
Pm 0.427 0.427 0.290
Pm 0.573 0.573 0.710
Pm 0.858 0.858 0.571

Results
- energy of formation (eV/atom) = 0.0203
- theoretical density (kg/m3) = 6639



Record 5
DFT (GGA-PBE) results for La5Pm after structural relaxation.

Unit cell a=5.280 b=11.125 c=7.386 alpha=90.00 beta=90.00 gamma=90.00
Positions (direct):
La 0.250 0.082 0.126
La 0.250 0.083 0.624
La 0.250 0.417 0.624
La 0.250 0.418 0.126
La 0.250 0.750 0.626
La 0.750 0.250 0.374
La 0.750 0.582 0.874
La 0.750 0.583 0.376
La 0.750 0.917 0.376
La 0.750 0.918 0.874
Pm 0.250 0.750 0.124
Pm 0.750 0.250 0.876

Results
- energy of formation (eV/atom) = 0.0088
- theoretical density (kg/m3) = 6427



Record 6
DFT (GGA-PBE) results for La8Pm3 after structural relaxation.

Unit cell a=6.433 b=6.433 c=13.388 alpha=103.80 beta=103.80 gamma=48.00
Positions (direct):
La 0.046 0.046 0.317
La 0.137 0.137 0.954
La 0.227 0.227 0.590
La 0.318 0.318 0.227
La 0.682 0.682 0.773
La 0.773 0.773 0.410
La 0.863 0.863 0.046
La 0.954 0.954 0.683
Pm 0.409 0.409 0.865
Pm 0.500 0.500 0.500
Pm 0.591 0.591 0.135

Results
- energy of formation (eV/atom) = 0.0185
- theoretical density (kg/m3) = 6461



Record 7
DFT (GGA-PBE) results for La2Pm7 after structural relaxation.

Unit cell a=6.373 b=6.373 c=8.967 alpha=90.00 beta=90.00 gamma=120.00
Positions (direct):
La 0.333 0.667 0.000
La 0.667 0.333 0.000
Pm 0.000 0.000 0.000
Pm 0.000 0.332 0.664
Pm 0.000 0.668 0.336
Pm 0.332 0.000 0.664
Pm 0.332 0.332 0.336
Pm 0.668 0.000 0.336
Pm 0.668 0.668 0.664

Results
- energy of formation (eV/atom) = 0.0154
- theoretical density (kg/m3) = 6806



Record 8
DFT (GGA-PBE) results for LaPm2 after structural relaxation.

Unit cell a=8.239 b=8.239 c=8.239 alpha=154.13 beta=154.13 gamma=36.91
Positions (direct):
La 0.000 0.000 0.000
Pm 0.332 0.332 0.000
Pm 0.668 0.668 0.000

Results
- energy of formation (eV/atom) = 0.0199
- theoretical density (kg/m3) = 6699



Record 9
DFT (GGA-PBE) results for LaPm2 after structural relaxation.

Unit cell a=6.365 b=6.365 c=3.689 alpha=106.71 beta=106.71 gamma=48.43
Positions (direct):
La 0.000 0.000 0.000
Pm 0.332 0.332 0.332
Pm 0.668 0.668 0.668

Results
- energy of formation (eV/atom) = 0.0182
- theoretical density (kg/m3) = 6711



Record 10
DFT (GGA-PBE) results for La2Pm after structural relaxation.

Unit cell a=3.710 b=3.710 c=15.664 alpha=90.00 beta=90.00 gamma=90.00
Positions (direct):
La 0.000 0.000 0.000
La 0.000 0.000 0.331
La 0.000 0.000 0.669
La 0.500 0.500 0.500
Pm 0.500 0.500 0.165
Pm 0.500 0.500 0.835

Results
- energy of formation (eV/atom) = 0.0141
- theoretical density (kg/m3) = 6512



Record 11
DFT (GGA-PBE) results for LaPm3 after structural relaxation.

Unit cell a=5.196 b=5.196 c=5.196 alpha=90.00 beta=90.00 gamma=90.00
Positions (direct):
La 0.000 0.000 0.000
Pm 0.000 0.500 0.500
Pm 0.500 0.000 0.500
Pm 0.500 0.500 0.000

Results
- energy of formation (eV/atom) = 0.0167
- theoretical density (kg/m3) = 6794



Record 12
DFT (GGA-PBE) results for La2Pm after structural relaxation.

Unit cell a=6.765 b=6.765 c=6.765 alpha=60.00 beta=60.00 gamma=60.00
Positions (direct):
La 0.000 0.000 0.000
La 0.000 0.000 0.500
La 0.000 0.500 0.000
La 0.500 0.000 0.000
Pm 0.375 0.375 0.375
Pm 0.625 0.625 0.625

Results
- energy of formation (eV/atom) = 0.2144
- theoretical density (kg/m3) = 6415



Record 13
DFT (GGA-PBE) results for LaPm3 after structural relaxation.

Unit cell a=3.680 b=5.206 c=7.335 alpha=90.00 beta=90.00 gamma=90.00
Positions (direct):
La 0.000 0.000 0.000
Pm 0.000 0.000 0.500
Pm 0.500 0.500 0.253
Pm 0.500 0.500 0.747

Results
- energy of formation (eV/atom) = 0.0168
- theoretical density (kg/m3) = 6782



Record 14
DFT (GGA-PBE) results for La8Pm3 after structural relaxation.

Unit cell a=7.413 b=7.413 c=7.413 alpha=84.66 beta=84.66 gamma=84.66
Positions (direct):
La 0.114 0.114 0.114
La 0.188 0.609 0.353
La 0.353 0.188 0.609
La 0.391 0.647 0.812
La 0.609 0.353 0.188
La 0.647 0.812 0.391
La 0.812 0.391 0.647
La 0.886 0.886 0.886
Pm 0.000 0.000 0.500
Pm 0.000 0.500 0.000
Pm 0.500 0.000 0.000

Results
- energy of formation (eV/atom) = 0.3630
- theoretical density (kg/m3) = 6382



Record 15
DFT (GGA-PBE) results for LaPm3 after structural relaxation.

Unit cell a=5.844 b=5.844 c=5.844 alpha=60.00 beta=60.00 gamma=60.00
Positions (direct):
La 0.000 0.000 0.000
Pm 0.250 0.250 0.250
Pm 0.500 0.500 0.500
Pm 0.750 0.750 0.750

Results
- energy of formation (eV/atom) = 0.1332
- theoretical density (kg/m3) = 6752



Record 16
DFT (GGA-PBE) results for LaPm2 after structural relaxation.

Unit cell a=6.754 b=6.754 c=6.754 alpha=60.00 beta=60.00 gamma=60.00
Positions (direct):
La 0.125 0.125 0.125
La 0.875 0.875 0.875
Pm 0.000 0.500 0.500
Pm 0.500 0.000 0.500
Pm 0.500 0.500 0.000
Pm 0.500 0.500 0.500

Results
- energy of formation (eV/atom) = 0.2340
- theoretical density (kg/m3) = 6538



Record 17
DFT (GGA-PBE) results for LaPm3 after structural relaxation.

Unit cell a=3.703 b=5.962 c=6.408 alpha=90.00 beta=90.00 gamma=90.00
Positions (direct):
La 0.000 0.000 0.000
Pm 0.000 0.500 0.334
Pm 0.500 0.000 0.501
Pm 0.500 0.500 0.833

Results
- energy of formation (eV/atom) = 0.0350
- theoretical density (kg/m3) = 6735



Record 18
DFT (GGA-PBE) results for La6Pm after structural relaxation.

Unit cell a=9.087 b=9.087 c=9.087 alpha=118.22 beta=118.22 gamma=118.22
Positions (direct):
La 0.003 0.267 0.428
La 0.267 0.428 0.003
La 0.428 0.003 0.267
La 0.572 0.997 0.733
La 0.733 0.572 0.997
La 0.997 0.733 0.572
Pm 0.500 0.500 0.500

Results
- energy of formation (eV/atom) = 0.1051
- theoretical density (kg/m3) = 6307



Record 19
DFT (GGA-PBE) results for LaPm3 after structural relaxation.

Unit cell a=7.447 b=7.447 c=5.928 alpha=90.00 beta=90.00 gamma=120.00
Positions (direct):
La 0.333 0.667 0.250
La 0.667 0.333 0.750
Pm 0.166 0.332 0.750
Pm 0.166 0.834 0.750
Pm 0.332 0.166 0.250
Pm 0.668 0.834 0.750
Pm 0.834 0.166 0.250
Pm 0.834 0.668 0.250

Results
- energy of formation (eV/atom) = 0.0325
- theoretical density (kg/m3) = 6694



Record 20
DFT (GGA-PBE) results for La4Pm3 after structural relaxation.

Unit cell a=6.415 b=6.415 c=8.253 alpha=97.38 beta=97.38 gamma=48.26
Positions (direct):
La 0.070 0.070 0.216
La 0.357 0.357 0.071
La 0.643 0.643 0.929
La 0.930 0.930 0.784
Pm 0.215 0.215 0.640
Pm 0.500 0.500 0.500
Pm 0.785 0.785 0.360

Results
- energy of formation (eV/atom) = 0.0191
- theoretical density (kg/m3) = 6556



Number 1: total DFT energy (no corrections) -4.6191 eV per atom. Number 2: total DFT energy (no corrections) -4.8320 eV per atom. Number 3: total DFT energy (no corrections) -4.7223 eV per atom. Number 4: total DFT energy (no corrections) -4.8061 eV per atom. Number 5: total DFT energy (no corrections) -4.8892 eV per atom. Number 6: total DFT energy (no corrections) -4.8607 eV per atom. Number 7: total DFT energy (no corrections) -4.7745 eV per atom. Number 8: total DFT energy (no corrections) -4.7897 eV per atom. Number 9: total DFT energy (no corrections) -4.7913 eV per atom. Number 10: total DFT energy (no corrections) -4.8544 eV per atom. Number 11: total DFT energy (no corrections) -4.7781 eV per atom. Number 12: total DFT energy (no corrections) -4.6541 eV per atom. Number 13: total DFT energy (no corrections) -4.7780 eV per atom. Number 14: total DFT energy (no corrections) -4.5162 eV per atom. Number 15: total DFT energy (no corrections) -4.6616 eV per atom. Number 16: total DFT energy (no corrections) -4.5755 eV per atom. Number 17: total DFT energy (no corrections) -4.7598 eV per atom. Number 18: total DFT energy (no corrections) -4.7970 eV per atom. Number 19: total DFT energy (no corrections) -4.7623 eV per atom. Number 20: total DFT energy (no corrections) -4.8325 eV per atom.